Entry 1:
ZnNi2As | PBE | optimized geometry

```
ZnNi2As
1.0
-2.632 1.866 -2.158
-1.576 -1.753 -3.084
-4.562 -1.525 0.754
Ni As Zn
2 1 1
Direct
0.271 0.271 0.187
0.062 0.062 0.813
0.679 0.679 0.962
0.487 0.487 0.538
```

Results
Its distance to the lowest polymorph of the same formula is 2.85 kcal/mol of atoms. Its symmetry is R3m (160).



Entry 2:
VHg2N2 | PBE | optimized geometry

```
VHg2N2
1.0
7.034 0.000 0.000
0.000 7.034 0.000
0.000 0.000 3.149
Hg V N
4 2 4
Direct
0.865 0.635 0.000
0.365 0.865 0.000
0.135 0.365 0.000
0.635 0.135 0.000
0.500 0.500 0.000
0.000 0.000 0.000
0.811 0.311 0.500
0.189 0.689 0.500
0.689 0.811 0.500
0.311 0.189 0.500
```

Results
Its distance to the lowest polymorph of the same formula is 1.77 kcal/mol of atoms. The value obtained for the uncorrected formation energy is 1.715 eV per atom. Its symmetry is P4/mbm (127).



Entry 3:
BeSiNi14 | PBE | optimized geometry

```
BeSiNi14
1.0
4.965 -0.011 0.000
0.010 4.965 0.000
0.000 0.000 6.910
Ni Be Si
14 1 1
Direct
0.624 0.126 0.745
0.126 0.624 0.745
0.875 0.875 0.000
0.624 0.624 0.255
0.375 0.375 0.000
0.624 0.126 0.255
0.126 0.126 0.255
0.375 0.875 0.000
0.126 0.126 0.745
0.624 0.624 0.745
0.875 0.375 0.500
0.126 0.624 0.255
0.875 0.375 0.000
0.375 0.875 0.500
0.375 0.375 0.500
0.875 0.875 0.500
```

Results
The value obtained for the uncorrected formation energy is -0.142 eV per atom. Its symmetry is P4/mmm (123).



Entry 4:
BPIrI | PBE | optimized geometry

```
BPIrI
1.0
7.164 0.000 0.007
0.000 3.351 0.000
-2.946 0.000 6.677
Ir P B I
2 2 2 2
Direct
0.172 0.500 0.626
0.172 0.000 0.126
0.311 0.500 0.971
0.311 0.000 0.471
0.115 0.000 0.800
0.115 0.500 0.300
0.794 0.000 0.811
0.794 0.500 0.311
```

Results
Its distance to the lowest polymorph of the same formula is 1.78 kcal/mol of atoms. The value obtained for the uncorrected formation energy is 0.212 eV per atom. Its symmetry is Cm (8).



Entry 5:
KPt2 | PBE | optimized geometry

```
KPt2
1.0
7.586 0.001 0.000
6.520 3.878 0.000
-7.053 -1.940 2.010
Pt K
2 1
Direct
0.816 0.816 0.000
0.184 0.184 0.000
0.500 0.500 0.000
```

Results
The value obtained for the total energy is -0.3060 Ry per atom. Its symmetry is I4/mmm (139).



Entry 6:
DyYTlIr | PBE | optimized geometry

```
DyYTlIr
1.0
-1.369 0.112 -3.191
1.513 -3.034 -0.756
-6.495 -3.899 2.649
Ir Dy Tl Y
1 1 1 1
Direct
0.000 0.000 0.573
0.500 0.500 0.777
0.000 0.000 0.071
0.500 0.500 0.364
```

Results
Its distance to the lowest polymorph of the same formula is 0.00 kcal/mol of atoms. Its symmetry is P4mm (99).



Entry 7:
Pm4GaTeS2 | PBE | optimized geometry

```
Pm4GaTeS2
1.0
4.110 0.000 0.000
0.000 7.329 -0.200
0.000 2.531 6.960
S Pm Ga Te
2 4 1 1
Direct
0.000 0.000 0.000
0.500 0.000 0.500
0.500 0.235 0.749
0.000 0.773 0.727
0.000 0.227 0.273
0.500 0.765 0.251
0.000 0.500 0.500
0.500 0.500 0.000
```

Results
The value obtained for the uncorrected formation energy is -1.494 eV per atom. Its symmetry is P2/m (10).



Entry 8:
ScBe3Ag | PBE | optimized geometry

```
ScBe3Ag
1.0
4.763 0.000 0.000
0.000 4.763 0.000
0.000 0.000 4.763
Ag Be Sc
1 3 1
Direct
0.500 0.500 0.500
0.500 0.000 0.000
0.000 0.000 0.500
0.000 0.500 0.000
0.000 0.000 0.000
```

Results
Its distance to the lowest polymorph of the same formula is 30.02 kcal/mol of atoms. Its symmetry is Pm-3m (221).



Entry 9:
Li2In3Pd3 | PBE | optimized geometry

```
Li2In3Pd3
1.0
3.387 -0.001 -0.006
-0.002 4.486 0.256
1.674 1.684 9.190
In Li Pd
3 2 3
Direct
0.869 0.370 0.263
0.000 0.000 0.000
0.131 0.630 0.737
0.757 0.758 0.485
0.243 0.242 0.515
0.626 0.125 0.748
0.500 0.500 0.000
0.374 0.875 0.252
```

Results
The value obtained for the total energy is -0.2892 Ry per atom. Its symmetry is P-1 (2).



Entry 10:
MgPa2Pb | PBE | optimized geometry

```
MgPa2Pb
1.0
3.184 0.000 0.000
1.592 2.758 0.000
1.592 0.919 12.319
Mg Pb Pa
1 1 2
Direct
0.000 0.000 0.000
0.500 0.500 0.500
0.912 0.912 0.264
0.088 0.088 0.736
```

Results
The value obtained for the total energy is -0.4222 Ry per atom. Its symmetry is R-3m (166).



Entry 11:
Ho2Sc7Cd2 | PBE | optimized geometry

```
Ho2Sc7Cd2
1.0
6.152 -0.561 -0.809
-1.246 6.880 0.712
-1.246 -1.749 6.692
Sc Cd Ho
7 2 2
Direct
0.812 0.073 0.581
0.188 0.419 0.927
0.476 0.665 0.665
0.000 0.000 0.000
0.188 0.927 0.419
0.812 0.581 0.073
0.524 0.335 0.335
0.036 0.338 0.338
0.964 0.662 0.662
0.500 0.847 0.153
0.500 0.153 0.847
```

Results
The value obtained for the total energy is -0.3633 Ry per atom. Its symmetry is C2/m (12).



Entry 12:
MgAlMo2 | PBE | optimized geometry

```
MgAlMo2
1.0
3.252 0.000 0.000
0.000 3.252 0.000
0.000 0.000 6.337
Mg Mo Al
1 2 1
Direct
0.500 0.500 0.752
0.500 0.500 0.234
0.000 0.000 0.032
0.000 0.000 0.482
```

Results
Its distance to the lowest polymorph of the same formula is 0.00 kcal/mol of atoms. Its symmetry is P4mm (99).



Entry 13:
MgAg2Ru | PBE | optimized geometry

```
MgAg2Ru
1.0
4.955 0.013 0.000
1.604 4.689 0.000
-3.280 -2.351 2.877
Mg Ag Ru
1 2 1
Direct
0.500 0.500 0.000
0.250 0.750 0.500
0.000 0.000 0.000
0.750 0.250 0.500
```

Results
The value obtained for the total energy is -0.2872 Ry per atom. Its symmetry is I-4m2 (119).



Entry 14:
CeYPd | PBE | optimized geometry

```
CeYPd
1.0
3.788 0.000 0.000
-1.894 9.146 0.336
0.000 -5.275 4.396
Pd Ce Y
2 2 2
Direct
0.341 0.682 0.887
0.574 0.149 0.836
0.981 0.961 0.380
0.664 0.328 0.455
0.255 0.509 0.141
0.942 0.885 0.807
```

Results
Its distance to the lowest polymorph of the same formula is 0.00 kcal/mol of atoms. Its symmetry is Cm (8).



Entry 15:
SeI2NCl | PBE | optimized geometry

```
SeI2NCl
1.0
6.273 0.000 0.000
0.000 6.273 0.000
0.000 0.000 3.596
I Cl Se N
2 1 1 1
Direct
0.500 0.000 0.000
0.000 0.500 0.000
0.500 0.500 0.500
0.000 0.000 0.000
0.000 0.000 0.500
```

Results
Its distance to the lowest polymorph of the same formula is 0.00 kcal/mol of atoms. The value obtained for the uncorrected formation energy is 0.889 eV per atom. Its symmetry is P4/mmm (123).



Entry 16:
Ag3Cl2 | PBE | optimized geometry

```
Ag3Cl2
1.0
9.587 -1.778 0.006
9.587 1.778 0.006
9.255 0.000 3.068
Ag Cl
3 2
Direct
0.000 0.000 0.000
0.799 0.799 0.799
0.201 0.201 0.201
0.602 0.602 0.602
0.398 0.398 0.398
```

Results
Its distance to the lowest polymorph of the same formula is 0.00 kcal/mol of atoms. The value obtained for the uncorrected formation energy is -0.219 eV per atom. Its symmetry is R-3m (166).



Entry 17:
PmTmP2 | PBE | optimized geometry

```
PmTmP2
1.0
-1.744 0.826 -3.495
1.307 -1.746 -3.345
-4.562 -5.489 -1.301
Pm P Tm
1 2 1
Direct
0.497 0.497 0.508
0.255 0.255 0.236
0.079 0.079 0.763
0.669 0.669 0.993
```

Results
Its distance to the lowest polymorph of the same formula is 3.47 kcal/mol of atoms. Its symmetry is R3m (160).



Entry 18:
ErTmBeAu | PBE | optimized geometry

```
ErTmBeAu
1.0
4.934 0.000 0.000
2.467 4.273 0.000
2.467 1.424 4.028
Er Tm Au Be
1 1 1 1
Direct
0.750 0.750 0.750
0.250 0.250 0.250
0.000 0.000 0.000
0.500 0.500 0.500
```

Results
The value obtained for the total energy is -0.3215 Ry per atom. Its symmetry is F-43m (216).



Entry 19:
HoZn3Pd2 | PBE | optimized geometry

```
HoZn3Pd2
1.0
6.125 0.000 -0.576
0.000 5.631 0.000
-0.016 0.000 6.155
Pd Zn Ho
4 6 2
Direct
0.240 0.000 0.760
0.760 0.500 0.240
0.760 0.000 0.240
0.240 0.500 0.760
0.991 0.250 0.991
0.009 0.750 0.009
0.890 0.250 0.576
0.424 0.750 0.110
0.110 0.750 0.424
0.576 0.250 0.890
0.357 0.250 0.357
0.643 0.750 0.643
```

Results
The value obtained for the total energy is -0.2692 Ry per atom. Its symmetry is Cmcm (63).



Entry 20:
ZnCrAs2 | PBE | optimized geometry

```
ZnCrAs2
1.0
4.462 0.002 0.000
-0.947 4.360 0.000
0.000 0.000 3.462
As Cr Zn
2 1 1
Direct
0.000 0.000 0.000
0.500 0.500 0.000
0.500 0.000 0.500
0.000 0.500 0.500
```

Results
The value obtained for the total energy is -0.3583 Ry per atom. Its symmetry is Cmmm (65).



Entry 21:
Y3HgC | PBE | optimized geometry

```
Y3HgC
1.0
3.829 -8.505 0.000
3.829 8.505 0.000
0.000 0.000 5.731
Y Hg C
6 2 2
Direct
0.000 0.000 0.500
0.956 0.598 0.750
0.598 0.956 0.250
0.044 0.402 0.250
0.402 0.044 0.750
0.000 0.000 0.000
0.842 0.158 0.750
0.158 0.842 0.250
0.291 0.709 0.250
0.709 0.291 0.750
```

Results
Its distance to the lowest polymorph of the same formula is 26.68 kcal/mol of atoms. Its symmetry is Cmcm (63).



Entry 22:
ZrP2Os | PBE | optimized geometry

```
ZrP2Os
1.0
3.774 0.000 0.000
0.000 3.293 0.008
0.000 -0.013 5.146
Os P Zr
1 2 1
Direct
0.500 0.750 0.750
0.000 0.750 0.021
0.000 0.750 0.479
0.500 0.250 0.250
```

Results
Its distance to the lowest polymorph of the same formula is 2.72 kcal/mol of atoms. Its symmetry is Pmmm (47).



Entry 23:
Rb2CaNbPb | PBE | optimized geometry

```
Rb2CaNbPb
1.0
6.877 0.000 0.000
0.000 5.829 0.000
0.000 0.000 6.877
Ca Pb Rb Nb
1 1 2 1
Direct
0.000 0.000 0.000
0.000 0.500 0.000
0.500 0.000 0.000
0.000 0.000 0.500
0.500 0.500 0.500
```

Results
The value obtained for the total energy is -0.1614 Ry per atom. Its symmetry is P4/mmm (123).



Entry 24:
Y2HfMgFe | PBE | optimized geometry

```
Y2HfMgFe
1.0
5.270 0.000 0.000
0.000 4.749 0.000
0.000 0.000 5.270
Y Mg Hf Fe
2 1 1 1
Direct
0.500 0.000 0.000
0.000 0.000 0.500
0.500 0.500 0.500
0.000 0.500 0.000
0.000 0.000 0.000
```

Results
The value obtained for the total energy is -0.4721 Ry per atom. Its symmetry is P4/mmm (123).



Entry 25:
ScSbPb2Se | PBE | optimized geometry

```
ScSbPb2Se
1.0
5.732 0.000 0.000
0.000 4.996 0.000
0.000 0.000 5.732
Sb Sc Pb Se
1 1 2 1
Direct
0.500 0.500 0.500
0.000 0.500 0.000
0.500 0.000 0.000
0.000 0.000 0.500
0.000 0.000 0.000
```

Results
The value obtained for the uncorrected formation energy is -0.008 eV per atom. Its symmetry is P4/mmm (123).



Entry 26:
K2Tl2Pb3 | PBE | optimized geometry

```
K2Tl2Pb3
1.0
-1.694 3.238 -0.276
-6.475 -2.989 4.680
7.541 2.266 4.623
K Tl Pb
2 2 3
Direct
0.130 0.971 0.261
0.870 0.029 0.739
0.424 0.726 0.847
0.576 0.274 0.153
0.000 0.500 0.000
0.211 0.614 0.422
0.789 0.386 0.578
```

Results
Its distance to the lowest polymorph of the same formula is 0.28 kcal/mol of atoms. Its symmetry is C2/m (12).



Entry 27:
CsH | PBE | optimized geometry

```
CsH
1.0
4.501 0.000 0.000
2.251 3.898 0.000
2.251 1.299 3.675
Cs H
1 1
Direct
0.500 0.500 0.500
0.000 0.000 0.000
```

Results
The value obtained for the total energy is -0.1673 Ry per atom. Its symmetry is Fm-3m (225).